No. 1
Density functional theory data (PBE) for an optimized crystal structure of Ce6Ge2N.

abc: 3.727 8.147 7.943
angles: 120.85 90.00 90.00
Each line ends with the local moment (μB).
Element x y z (fractional)
Ce 0.000 0.270 0.000  0.37
Ge 0.000 0.315 0.638  -0.02
Ce 0.500 0.001 0.615  0.61
Ce 0.500 0.386 0.385  0.61
N 0.500 0.064 0.000  -0.02
Ge 0.000 0.677 0.362  -0.02
Ce 0.000 0.973 0.198  0.73
Ce 0.500 0.539 0.000  0.47
Ce 0.000 0.775 0.802  0.73

Computed properties:
The value obtained for the density of states at the Fermi level is 23.24 states/eV/cell. The size of the total moment comes out at 4.5 μB per cell. As for the calculated volume: 207.1 Å³/f.u. As for the energy: -58.00 eV per cell. The space group is Amm2.

No. 2
Density functional theory data (PBE) for an optimized crystal structure of BaCeAuS4.

abc: 7.197 5.631 9.014
angles: 90.00 110.23 90.00
Each line ends with the local moment (μB).
Element x y z (fractional)
S 0.960 0.476 0.288  -0.01
Au 0.775 0.250 0.723  -0.01
Ba 0.734 0.750 0.948  0.00
Ce 0.724 0.750 0.447  0.36
S 0.040 0.524 0.712  -0.01
S 0.542 0.250 0.858  -0.01
S 0.571 0.250 0.417  -0.02
S 0.040 0.976 0.712  -0.01
S 0.429 0.750 0.583  -0.02
S 0.960 0.024 0.288  -0.01
Ce 0.276 0.250 0.553  0.36
Au 0.225 0.750 0.277  -0.01
S 0.458 0.750 0.142  -0.01
Ba 0.266 0.250 0.052  0.00

Computed properties:
The value obtained for the density of states at the Fermi level is 6.08 states/eV/cell. The size of the total moment comes out at 0.6 μB per cell. As for the calculated volume: 171.4 Å³/f.u. As for the energy: -73.60 eV per cell. The space group is P2_1/m.